# 1
This record from Alexandria describes a geometry-optimized CsInBr2F structure. The functional is PBE.

Geometry as extended XYZ:
```
5
Lattice="5.887 0.000 0.000 0.000 5.887 0.000 0.000 0.000 4.590" Properties=species:S:1:pos:R:3 pbc="T T T"
Cs 0.000 0.000 0.000
In 2.943 2.943 2.295
Br 0.000 2.943 2.295
Br 2.943 0.000 2.295
F 2.943 2.943 0.000
```

## Properties
**VASP energy**: -16.72 eV per cell
**Raw formation energy**: -1.583 eV/atom

=====

# 2
This record from Alexandria describes a geometry-optimized Cs2IrBr2F4 structure. The functional is PBE.

Geometry as extended XYZ:
```
9
Lattice="-3.667 3.667 4.458 3.667 -3.667 4.458 3.667 3.667 -4.458" Properties=species:S:1:pos:R:3 pbc="T T T"
Cs 3.667 0.000 2.229
Cs 0.000 3.667 2.229
Ir 0.000 0.000 0.000
Br 0.000 0.000 2.507
Br 0.000 0.000 6.410
F 1.391 1.391 0.000
F 2.276 -2.276 4.458
F -2.276 2.276 4.458
F 2.276 2.276 4.458
```

## Properties
**VASP energy**: -37.46 eV per cell
**Raw formation energy**: -1.784 eV/atom

=====

# 3
This record from Alexandria describes a geometry-optimized Cs2IrBr4F2 structure. The functional is PBE.

Geometry as extended XYZ:
```
9
Lattice="6.504 -3.832 0.000 6.504 3.832 0.000 -4.349 0.000 6.139" Properties=species:S:1:pos:R:3 pbc="T T T"
Cs 1.944 0.000 1.826
Cs 6.716 0.000 4.314
Ir 6.504 0.000 0.000
Br 5.237 1.769 1.230
Br 3.423 1.769 4.909
Br 5.237 -1.769 1.230
Br 3.423 -1.769 4.909
F 0.813 0.000 4.693
F 7.847 0.000 1.446
```

## Properties
**VASP energy**: -33.32 eV per cell
**Raw formation energy**: -1.369 eV/atom